Record 1
A geometry-optimized DyErHg2Au4 structure, computed with PBE.

## Properties
- Magnetic moment: 0.00 μB/cell
- Mass density: 15.03 Mg/m³
- Raw total energy: -0.1268 hartree per atom
- SG: P4/mmm

a b c (Å): 4.9135 4.9135 6.9515
angles (deg): 90.00 90.00 90.00
Last column: nearest neighbours and their distance in Å.
Fractional coordinates of all 8 atoms:
1 Dy 0.0000 0.0000 0.0000  8 Au 3.02
2 Er 0.5000 0.5000 0.5000  8 Au 3.00
3 Hg 0.0000 0.0000 0.5000  8 Au 3.00
4 Hg 0.5000 0.5000 0.0000  8 Au 3.02
5 Au 0.0000 0.5000 0.2525  2 Er 3.00, 4 Hg 3.00-3.02, 2 Dy 3.02
6 Au 0.0000 0.5000 0.7475  2 Er 3.00, 4 Hg 3.00-3.02, 2 Dy 3.02
7 Au 0.5000 0.0000 0.2525  2 Er 3.00, 4 Hg 3.00-3.02, 2 Dy 3.02
8 Au 0.5000 0.0000 0.7475  2 Er 3.00, 4 Hg 3.00-3.02, 2 Dy 3.02

Record 2
A geometry-optimized DyErIn4Au2 structure, computed with PBE.

## Properties
- Magnetic moment: 0.01 μB/cell
- Mass density: 10.72 Mg/m³
- Raw total energy: -0.1403 hartree per atom
- SG: Amm2

a b c (Å): 7.2568 5.9159 5.9159
angles (deg): 46.16 90.00 90.00
Last column: nearest neighbours and their distance in Å.
Fractional coordinates of all 8 atoms:
1 Dy 0.0000 0.0000 0.0000  3 Au 3.06-3.32, 4 In 3.20
2 Er 0.5000 0.1633 0.1633  3 Au 3.06-3.33, 4 In 3.19
3 In 0.2066 0.7111 0.7111  3 Au 2.83-2.87, 2 In 2.89-3.00
4 In 0.2942 0.4519 0.4519  3 Au 2.83-2.86, 2 In 2.89-2.99
5 In 0.7058 0.4519 0.4519  3 Au 2.83-2.86, 2 In 2.89-2.99
6 In 0.7934 0.7111 0.7111  3 Au 2.83-2.87, 2 In 2.89-3.00
7 Au 0.0000 0.2815 0.2815  6 In 2.83-2.87, 1 Dy 3.06
8 Au 0.5000 0.8826 0.8826  6 In 2.83-2.86, 1 Er 3.06

Record 3
A geometry-optimized Dy2ErIn3Pt2Au structure, computed with PBE.

## Properties
- Magnetic moment: 0.00 μB/cell
- Mass density: 11.89 Mg/m³
- Raw total energy: -0.1861 hartree per atom
- SG: Amm2

a b c (Å): 3.7927 7.7764 7.7764
angles (deg): 119.92 90.00 90.00
Last column: nearest neighbours and their distance in Å.
Fractional coordinates of all 9 atoms:
1 Dy 0.0000 0.2038 0.7962  4 Pt 3.03, 6 In 3.15-3.38, 1 Au 3.17
2 Dy 0.0000 0.7962 0.2038  4 Pt 3.03, 6 In 3.15-3.38, 1 Au 3.17
3 Er 0.0000 0.3883 0.3883  4 Pt 3.01, 6 In 3.15-3.37, 1 Au 3.17
4 In 0.5000 0.0657 0.0657  2 Au 2.83, 2 Pt 2.87, 2 Er 3.15
5 In 0.5000 0.5267 0.7957  2 Au 2.82, 2 Pt 2.87-2.89, 2 Dy 3.15
6 In 0.5000 0.7957 0.5267  2 Au 2.82, 2 Pt 2.87-2.89, 2 Dy 3.15
7 Pt 0.5000 0.1308 0.4624  3 In 2.87-2.89, 2 Er 3.01, 4 Dy 3.03
8 Pt 0.5000 0.4624 0.1308  3 In 2.87-2.89, 2 Er 3.01, 4 Dy 3.03
9 Au 0.0000 0.7957 0.7957  6 In 2.82-2.83

Record 4
A geometry-optimized DyEr2In3Pt2Au structure, computed with PBE.

## Properties
- Magnetic moment: 0.00 μB/cell
- Mass density: 12.01 Mg/m³
- Raw total energy: -0.1860 hartree per atom
- SG: Amm2

a b c (Å): 3.7756 7.7757 7.7757
angles (deg): 120.09 90.00 90.00
Last column: nearest neighbours and their distance in Å.
Fractional coordinates of all 9 atoms:
1 Dy 0.0000 0.0000 0.0000  4 Pt 3.03, 6 In 3.14-3.37, 1 Au 3.17
2 Er 0.0000 0.1850 0.5926  4 Pt 3.01, 6 In 3.14-3.37, 1 Au 3.17
3 Er 0.0000 0.5926 0.1850  4 Pt 3.01, 6 In 3.14-3.37, 1 Au 3.17
4 In 0.5000 0.3234 0.3234  2 Au 2.81, 2 Pt 2.88, 2 Dy 3.14
5 In 0.5000 0.5921 0.8623  2 Au 2.82, 2 Pt 2.86-2.87, 2 Er 3.14
6 In 0.5000 0.8623 0.5921  2 Au 2.82, 2 Pt 2.86-2.87, 2 Er 3.14
7 Pt 0.5000 0.2604 0.9256  3 In 2.86-2.88, 4 Er 3.01, 2 Dy 3.03
8 Pt 0.5000 0.9256 0.2604  3 In 2.86-2.88, 4 Er 3.01, 2 Dy 3.03
9 Au 0.0000 0.5922 0.5922  6 In 2.81-2.82

Record 5
A geometry-optimized DyErMg2Au4 structure, computed with PBE.

## Properties
- Magnetic moment: 0.00 μB/cell
- Mass density: 11.86 Mg/m³
- Raw total energy: -0.1452 hartree per atom
- SG: Pmm2

a b c (Å): 4.8986 6.7661 4.9271
angles (deg): 90.00 90.00 90.00
Last column: nearest neighbours and their distance in Å.
Fractional coordinates of all 8 atoms:
1 Dy 0.0000 0.0000 0.0000  8 Au 2.99
2 Er 0.5000 0.5000 0.5239  8 Au 2.97-2.98
3 Mg 0.0000 0.5000 0.0106  8 Au 2.94-3.03
4 Mg 0.5000 0.0000 0.5126  8 Au 2.95-3.05
5 Au 0.0000 0.2510 0.4995  4 Mg 2.94-3.03, 2 Er 2.98, 2 Dy 2.99
6 Au 0.0000 0.7490 0.4995  4 Mg 2.94-3.03, 2 Er 2.98, 2 Dy 2.99
7 Au 0.5000 0.2531 0.0246  4 Mg 2.95-3.05, 2 Er 2.97-2.98, 2 Dy 2.99
8 Au 0.5000 0.7469 0.0246  4 Mg 2.95-3.05, 2 Er 2.97-2.98, 2 Dy 2.99

Record 6
A geometry-optimized DyErMg2Au4 structure, computed with PBE.

## Properties
- Magnetic moment: 0.00 μB/cell
- Mass density: 11.95 Mg/m³
- Raw total energy: -0.1452 hartree per atom
- SG: P4/mmm

a b c (Å): 4.8570 4.8570 6.8688
angles (deg): 90.00 90.00 90.00
Last column: nearest neighbours and their distance in Å.
Fractional coordinates of all 8 atoms:
1 Dy 0.0000 0.0000 0.0000  8 Au 2.98
2 Er 0.5000 0.5000 0.5000  8 Au 2.97
3 Mg 0.0000 0.0000 0.5000  8 Au 2.97
4 Mg 0.5000 0.5000 0.0000  8 Au 2.98
5 Au 0.0000 0.5000 0.2503  2 Er 2.97, 4 Mg 2.97-2.98, 2 Dy 2.98
6 Au 0.0000 0.5000 0.7497  2 Er 2.97, 4 Mg 2.97-2.98, 2 Dy 2.98
7 Au 0.5000 0.0000 0.2503  2 Er 2.97, 4 Mg 2.97-2.98, 2 Dy 2.98
8 Au 0.5000 0.0000 0.7497  2 Er 2.97, 4 Mg 2.97-2.98, 2 Dy 2.98